First-principles (PBE) data for a relaxed structure of Fe5B2Mo, as listed in Alexandria via LeMat-Bulk.

Electronic total energy, eV/atom: -8.387
ΔH_f (0 K), meV per atom: -74

a b c (Å): 5.4201 5.4201 5.4201
angles (deg): 146.04 105.51 84.44
Element x y z (fractional)
Fe 0.0000 0.0000 0.0000
Fe 0.0293 0.3422 0.6871
Fe 0.3449 0.6578 0.6871
Fe 0.6551 0.3422 0.3129
Fe 0.9707 0.6578 0.3129
B 0.2724 0.2724 0.0000
B 0.7276 0.7276 0.0000
Mo 0.5000 0.0000 0.5000